First-principles (GGA-PBE) data for a relaxed NaCrCdGa2 crystal, as listed in Alexandria.

The structure belongs to space group P4/mmm (No. 123); the cell edges are 5.164, 5.164 and 5.343 Å and the angles 90.00°, 90.00° and 90.00°. Symmetry generates all atoms from Na at (0.000, 0.000, 0.000), Cr at (0.500, 0.500, 0.000), Cd at (0.500, 0.500, 0.500) and Ga at (0.000, 0.500, 0.500).

As for the formation enthalpy at 0 K: 656 meV per atom. The size of the total moment comes out at 4.67 μB/cell. The volume is 28.49 A^3/atom.